Record 1
Here is a relaxed structure of TaCo3I from the Alexandria database. Energies are from GGA-PBE.

a b c (Å): 4.463 4.463 4.463
angles (deg): 90.00 90.00 90.00
Fractional coordinates of all 5 atoms:
I 0.000 0.000 0.000
Co 0.000 0.500 0.000
Co 0.000 0.000 0.500
Co 0.500 0.000 0.000
Ta 0.500 0.500 0.500

Output
Its space group is No. 221. For the density of states at the Fermi level, the calculation gives 8.9 states/eV per cell. As for the formation energy from raw total energies: 1.6668 eV per atom. The excess energy over the best structure of this formula in the dataset is 0.2011 eV per atom. For the calculated volume, the calculation gives 17.78 Å³ per atom.

=====

Record 2
Here is a relaxed structure of Tb4Co2I5 from the Alexandria database. Energies are from GGA-PBE.

a b c (Å): 4.106 8.647 11.257
angles (deg): 112.59 100.51 90.00
Fractional coordinates of all 11 atoms:
Tb 0.667 0.667 0.334
Tb 0.000 0.303 0.000
Tb 0.333 0.333 0.666
Tb 0.000 0.697 0.000
Co 0.552 0.552 0.104
Co 0.448 0.448 0.896
I 0.164 0.392 0.329
I 0.836 0.608 0.671
I 0.164 0.936 0.329
I 0.500 0.000 0.000
I 0.836 0.064 0.671

Output
Its space group is No. 71. For the density of states at the Fermi level, the calculation gives 5.8 states/eV per cell. As for the formation energy from raw total energies: -0.6969 eV per atom. The excess energy over the best structure of this formula in the dataset is 0.0546 eV per atom. For the calculated volume, the calculation gives 32.89 Å³ per atom.

=====

Record 3
Here is a relaxed structure of Tb2Co2I from the Alexandria database. Energies are from GGA-PBE.

a b c (Å): 3.955 3.955 17.026
angles (deg): 90.00 90.00 120.00
Fractional coordinates of all 10 atoms:
Tb 0.000 0.000 0.103
Tb 0.000 0.000 0.603
Tb 0.000 0.000 0.397
Tb 0.000 0.000 0.897
Co 0.667 0.333 0.998
Co 0.333 0.667 0.002
Co 0.667 0.333 0.502
Co 0.333 0.667 0.498
I 0.667 0.333 0.250
I 0.333 0.667 0.750

Output
Its space group is No. 194. For the density of states at the Fermi level, the calculation gives 10.2 states/eV per cell. As for the formation energy from raw total energies: -0.5979 eV per atom. For the calculated volume, the calculation gives 23.07 Å³ per atom.

=====

| no. | VASP energy (eV for the cell shown) |
| --- | --- |
| 1 | -26.387 |
| 2 | -48.149 |
| 3 | -56.023 |